Entry 1:
First-principles (PBE) data for MgZrTa3 after structural relaxation, as listed in Alexandria via LeMat-Bulk.

Cell and atoms, written as POSCAR:
```
MgZrTa3
1.0
4.945 0.000 0.000
0.000 4.945 0.000
0.000 0.000 4.945
Ta Zr Mg
3 1 1
direct
0.000 0.500 0.000
0.000 0.000 0.500
0.500 0.000 0.000
0.000 0.000 0.000
0.500 0.500 0.500
```

Properties
DFT total energy ... -7.385 eV per atom
V ... 24.2 Å³ per atom
Space group ... Pm-3m

Entry 2:
First-principles (PBE) data for MgZrTa2 after structural relaxation, as listed in Alexandria via LeMat-Bulk.

Cell and atoms, written as POSCAR:
```
MgZrTa2
1.0
-4.472 -0.798 2.998
-0.176 -4.787 2.582
3.665 3.996 -0.468
Ta Zr Mg
2 1 1
direct
0.500 0.500 0.000
0.000 0.000 0.000
0.250 0.750 0.500
0.750 0.250 0.500
```

Properties
DFT total energy ... -8.215 eV per atom
V ... 19.8 Å³ per atom
Space group ... I4/mmm

Q: Look up the DFT total energy of the first one.
A: -7.385 eV per atom

Q: Look up the V of the second one.
A: 19.8 Å³ per atom

What did the first record say?
First-principles (PBE) data for MgZrTa3 after structural relaxation, as listed in Alexandria via LeMat-Bulk.

Cell and atoms, written as POSCAR:
```
MgZrTa3
1.0
4.945 0.000 0.000
0.000 4.945 0.000
0.000 0.000 4.945
Ta Zr Mg
3 1 1
direct
0.000 0.500 0.000
0.000 0.000 0.500
0.500 0.000 0.000
0.000 0.000 0.000
0.500 0.500 0.500
```

Properties
DFT total energy ... -7.385 eV per atom
V ... 24.2 Å³ per atom
Space group ... Pm-3m